The following is a PBE-GGA calculation of a relaxed GaHPd2 crystal, from the Alexandria database.

size of the total moment	0.0	Bohr magnetons per cell
relative energy among the computed polymorphs	0	meV/atom

Cell: 5.947 5.947 5.574 Å, 90.00 90.00 90.00°
Space group I-42d (No. 122)
Asymmetric unit:
Ga  0.000  0.000  0.000 x4
H  0.000  0.000  0.500 x4
Pd  0.158  0.250  0.625 x8

***

The following is a PBE-GGA calculation of a relaxed GaH3Pd crystal, from the Alexandria database.

size of the total moment	0.0	Bohr magnetons per cell
relative energy among the computed polymorphs	0	meV/atom

Cell: 3.658 3.658 3.658 Å, 90.00 90.00 90.00°
Space group Pm-3m (No. 221)
Asymmetric unit:
Ga  0.000  0.000  0.000 x1
H  0.000  0.500  0.500 x3
Pd  0.500  0.500  0.500 x1

***

The following is a PBE-GGA calculation of a relaxed Ga2HPd6 crystal, from the Alexandria database.

size of the total moment	0.0	Bohr magnetons per cell
relative energy among the computed polymorphs	0	meV/atom

Cell: 5.6267 5.6267 9.0111 Å, 90.00 90.00 120.00°
Space group P6_3mc (No. 186)
Asymmetric unit:
Ga  0.0000  0.0000  0.0000 x2
Ga  0.3333  0.6667  0.2501 x2
H  0.3333  0.6667  0.6432 x2
Pd  0.0019  0.5009  0.0000 x6
Pd  0.1628  0.3255  0.7511 x6